A relaxed structure of Pr2AlZnAu6. Source: Alexandria, functional PBE.

Structure (POSCAR):
```
Pr2AlZnAu6
1.0
-2.815 -4.805 -0.346
2.421 -0.856 -8.475
3.485 -5.089 -2.996
Pr Al Zn Au
2 1 1 6
direct
0.255 0.781 0.487
0.745 0.219 0.513
0.500 0.500 0.000
0.000 0.000 0.000
0.273 0.768 0.954
0.771 0.766 0.958
0.248 0.396 0.503
0.727 0.232 0.046
0.229 0.234 0.042
0.752 0.604 0.497
```

Calculated values
SG: P-1, No. 2
ΔH_f (0 K): -507 meV per atom
electronic total energy: -39.31 eV per cell
size of the total moment: 0.00 μB/cell